A plane-wave DFT calculation with GGA-PBE was carried out for a relaxed Zr2Nb4Au3C3 crystal.

abc: 5.6132 5.6132 14.3221
angles: 101.43 101.43 59.91
Fractional coordinates of all 24 atoms:
Zr  0.0352  0.8731  0.6034
Zr  0.1269  0.9648  0.8966
Zr  0.8731  0.0352  0.1034
Zr  0.9648  0.1269  0.3966
Nb  0.1936  0.3543  0.0809
Nb  0.2996  0.4800  0.4192
Nb  0.3543  0.1936  0.5809
Nb  0.4800  0.2996  0.9192
Nb  0.5200  0.7004  0.0808
Nb  0.6457  0.8064  0.4191
Nb  0.7004  0.5200  0.5808
Nb  0.8064  0.6457  0.9191
Au  0.0849  0.3138  0.7514
Au  0.3138  0.0849  0.2514
Au  0.4827  0.5173  0.7500
Au  0.5173  0.4827  0.2500
Au  0.6862  0.9151  0.7486
Au  0.9151  0.6862  0.2486
C  0.0000  0.5000  0.5000
C  0.1661  0.6673  0.0000
C  0.3327  0.8339  0.5000
C  0.5000  0.0000  0.0000
C  0.6673  0.1661  0.5000
C  0.8339  0.3327  0.0000

Calculated values
- Total DFT energy (no corrections): -8.421 eV per atom